DFT (PBE) results for a relaxed TlTcOs2 crystal.

Cell lengths 6.3905, 6.3905, 6.3905 Å; angles 90.00, 90.00, 90.00 degrees
Closest atoms and distances in Å follow each position.
Space group F-43m (No. 216)
Unique sites:
Tl1 0.0000 0.0000 0.0000 [4 per cell]  4 Tc 2.77, 4 Os 2.77
Tc1 0.2500 0.2500 0.2500 [4 per cell]  4 Os 2.77, 4 Tl 2.77
Os1 0.0000 0.0000 0.5000 [4 per cell]  4 Os 2.77, 4 Tc 2.77
Os2 0.2500 0.2500 0.7500 [4 per cell]  4 Tl 2.77, 4 Os 2.77

**Calculated formation energy**: 0.953 eV/atom
**Final energy**: -7.845 eV per atom